Entry from Alexandria: a relaxed structure of AcCdAg2 (PBE).

Properties
ΔE to the lowest computed polymorph (meV per atom): 206
Symmetry: P4/mmm (123)
Calculated formation energy (eV/f.u.): -0.315
Total moment (μB per formula unit): 0.0
Density of states at the Fermi level (states/eV per atom): 0.55

Cell: 4.259 5.025 5.025 Å, 90.00 90.00 90.00°
Element x y z (fractional)
Ac: 0.500 0.500 0.500
Ag: 0.000 0.000 0.500
Ag: 0.000 0.500 0.000
Cd: 0.500 0.000 0.000